1.
This record from Alexandria describes a relaxed structure of FeAs2W. The functional is GGA-PBE.

Computed properties:
total magnetization: 0.02 μB/cell
crystal system: cubic
energy of formation: 0.25 eV per atom
VASP energy: -7.428 eV/atom
SG: Fm-3m, No. 225

a b c (Å): 4.3242 4.3242 4.3242
angles (deg): 60.00 60.00 60.00
Positions (direct):
W 0.5000 0.5000 0.5000
As 0.2500 0.2500 0.2500
As 0.7500 0.7500 0.7500
Fe 0.0000 0.0000 0.0000

---

2.
This record from Alexandria describes a relaxed structure of CoSi2Se. The functional is GGA-PBE.

Computed properties:
total magnetization: 0.00 μB/cell
crystal system: orthorhombic
VASP energy: -5.054 eV/atom
uncorrected formation energy: 1.22 eV/f.u.
SG: Imm2, No. 44

a b c (Å): 5.5416 5.5416 5.5416
angles (deg): 152.37 128.04 59.85
Positions (direct):
Se 0.3049 0.8049 0.5000
Co 0.5178 0.5178 0.0000
Si 0.7129 0.2129 0.5000
Si 0.9643 0.9643 0.0000

---

3.
This record from Alexandria describes a relaxed structure of Sc8Ru2Pt. The functional is GGA-PBE.

Computed properties:
total magnetization: 0.00 μB/cell
crystal system: orthorhombic
energy of formation: -0.52 eV per atom
VASP energy: -7.364 eV/atom
SG: Imm2, No. 44

a b c (Å): 4.7223 6.4661 8.3462
angles (deg): 112.78 106.43 90.01
Positions (direct):
Sc 0.9279 0.4379 0.4926
Sc 0.3445 0.8544 0.3257
Sc 0.6364 0.2538 0.9090
Sc 0.5273 0.7265 0.6908
Sc 0.9771 0.0229 0.5908
Sc 0.1367 0.5561 0.9091
Sc 0.7456 0.9449 0.1275
Sc 0.2955 0.3411 0.2274
Pt 0.1368 0.9642 0.9091
Ru 0.8050 0.6180 0.2468
Ru 0.4671 0.2803 0.5713

---

4.
This record from Alexandria describes a relaxed structure of Mg5Zn4Hg. The functional is GGA-PBE.

Computed properties:
total magnetization: 0.00 μB/cell
crystal system: tetragonal
energy of formation: -0.10 eV per atom
VASP energy: -1.435 eV/atom
SG: P4/mmm, No. 123

a b c (Å): 3.3726 3.3726 16.4541
angles (deg): 90.00 90.00 90.00
Positions (direct):
Hg 0.0000 0.0000 0.0000
Zn 0.0000 0.0000 0.7871
Zn 0.0000 0.0000 0.5973
Zn 0.0000 0.0000 0.2129
Zn 0.0000 0.0000 0.4027
Mg 0.5000 0.5000 0.5000
Mg 0.5000 0.5000 0.6928
Mg 0.5000 0.5000 0.3072
Mg 0.5000 0.5000 0.8875
Mg 0.5000 0.5000 0.1125

---

5.
This record from Alexandria describes a relaxed structure of NdSmTm2Mg. The functional is GGA-PBE.

Computed properties:
total magnetization: 0.00 μB/cell
crystal system: monoclinic
energy of formation: 0.05 eV per atom
VASP energy: -3.959 eV/atom
SG: C2/m, No. 12

a b c (Å): 3.4895 6.6552 15.7415
angles (deg): 61.28 90.00 105.20
Positions (direct):
Tm 0.3562 0.7124 0.5221
Tm 0.8530 0.7060 0.1289
Tm 0.1470 0.2940 0.8711
Tm 0.6438 0.2876 0.4779
Mg 0.8870 0.7740 0.6923
Mg 0.1130 0.2260 0.3077
Sm 0.3903 0.7807 0.3028
Sm 0.6097 0.2193 0.6972
Nd 0.6177 0.2354 0.0827
Nd 0.3823 0.7646 0.9173

---

6.
This record from Alexandria describes a relaxed structure of La2CuSi. The functional is GGA-PBE.

Computed properties:
total magnetization: 0.00 μB/cell
crystal system: orthorhombic
VASP energy: -5.307 eV/atom
uncorrected formation energy: -1.85 eV/f.u.
SG: Amm2, No. 38

a b c (Å): 4.2280 4.3786 5.9167
angles (deg): 68.25 90.00 90.00
Positions (direct):
La 0.5000 0.2655 0.3441
La 0.0000 0.9802 0.9146
Si 0.0000 0.6872 0.5000
Cu 0.5000 0.5671 0.7413

---

7.
This record from Alexandria describes a relaxed structure of TiSnHg2. The functional is GGA-PBE.

Computed properties:
total magnetization: 0.00 μB/cell
crystal system: tetragonal
energy of formation: 0.17 eV per atom
VASP energy: -2.952 eV/atom
SG: I-42d, No. 122

a b c (Å): 7.9682 7.9682 6.3491
angles (deg): 51.13 51.13 90.00
Positions (direct):
Ti 0.5000 0.5000 0.0000
Ti 0.2500 0.7500 0.5000
Hg 0.3750 0.3895 0.7500
Hg 0.1395 0.6250 0.2500
Hg 0.8750 0.8605 0.7500
Hg 0.6105 0.1250 0.2500
Sn 0.7500 0.2500 0.5000
Sn 0.0000 0.0000 0.0000

---

8.
This record from Alexandria describes a relaxed structure of CaErMg2Cd4. The functional is GGA-PBE.

Computed properties:
total magnetization: 0.00 μB/cell
crystal system: trigonal
energy of formation: -0.28 eV per atom
VASP energy: -1.957 eV/atom
SG: R-3m, No. 166

a b c (Å): 5.0960 5.0960 8.8937
angles (deg): 73.35 73.35 60.00
Positions (direct):
Mg 0.2491 0.2491 0.2527
Mg 0.7509 0.7509 0.7473
Ca 0.0000 0.0000 0.0000
Cd 0.3765 0.3765 0.8704
Cd 0.1257 0.1257 0.6230
Cd 0.6235 0.6235 0.1296
Cd 0.8743 0.8743 0.3770
Er 0.5000 0.5000 0.5000

---

9.
This record from Alexandria describes a relaxed structure of KBI2O. The functional is GGA-PBE.

Computed properties:
total magnetization: 0.00 μB/cell
crystal system: tetragonal
VASP energy: -3.505 eV/atom
uncorrected formation energy: -1.69 eV/f.u.
SG: P4/mmm, No. 123

a b c (Å): 6.3518 6.3518 3.1241
angles (deg): 90.00 90.00 90.00
Positions (direct):
I 0.0000 0.5000 0.0000
I 0.5000 0.0000 0.0000
O 0.0000 0.0000 0.5000
K 0.5000 0.5000 0.5000
B 0.0000 0.0000 0.0000

---

10.
This record from Alexandria describes a relaxed structure of MnCrFe2. The functional is GGA-PBE.

Computed properties:
total magnetization: 1.55 μB/cell
crystal system: trigonal
energy of formation: 0.15 eV per atom
VASP energy: -8.782 eV/atom
SG: R-3m, No. 166

a b c (Å): 8.2952 8.2952 8.2952
angles (deg): 17.21 17.21 17.21
Site moments in Bohr magnetons follow the coordinates.
Positions (direct):
Fe 0.5013 0.5013 0.5013  1.17
Fe 0.9987 0.9987 0.9987  1.17
Cr 0.7500 0.7500 0.7500  -0.37
Mn 0.2500 0.2500 0.2500  -0.40

---

11.
This record from Alexandria describes a relaxed structure of YTi2PdO. The functional is GGA-PBE.

Computed properties:
total magnetization: 0.00 μB/cell
crystal system: tetragonal
VASP energy: -7.747 eV/atom
uncorrected formation energy: -6.33 eV/f.u.
SG: P4/mmm, No. 123

a b c (Å): 4.1273 4.1273 4.7384
angles (deg): 90.00 90.00 90.00
Positions (direct):
Ti 0.5000 0.0000 0.0000
Ti 0.0000 0.5000 0.0000
O 0.0000 0.0000 0.0000
Pd 0.5000 0.5000 0.5000
Y 0.0000 0.0000 0.5000